# 1
Computed, not measured: a relaxed LaDyTl2 crystal at the PBE level of DFT.

- Calculated density: 10.04 Mg/m³
- DFT formation energy: -1.43 eV per formula unit
- N(E_F): 0.96 states/eV/atom

Geometry as POSCAR:
```
LaDyTl2
1.0
-1.552 2.724 -3.161
-4.402 0.509 2.600
1.952 4.032 2.516
Tl Dy La
2 1 1
Direct
0.000 0.000 0.500 Tl
0.000 0.500 0.000 Tl
0.500 0.500 0.500 Dy
0.500 0.000 0.000 La
```



# 2
Computed, not measured: a relaxed La4Cd3Cu crystal at the PBE level of DFT.

- Calculated density: 6.85 Mg/m³
- DFT formation energy: -2.19 eV per formula unit
- N(E_F): 1.26 states/eV/atom

Geometry as POSCAR:
```
La4Cd3Cu
1.0
-1.213 3.027 -2.054
-3.067 0.338 2.309
8.078 9.571 9.333
Cd La Cu
3 4 1
Direct
0.500 0.500 0.500 Cd
0.500 0.500 0.241 Cd
0.500 0.500 0.759 Cd
0.000 0.000 0.630 La
0.000 0.000 0.370 La
0.000 0.000 0.894 La
0.000 0.000 0.106 La
0.500 0.500 0.000 Cu
```



# 3
Computed, not measured: a relaxed Ba2Ga4Ge3Au crystal at the PBE level of DFT.

- Calculated density: 6.78 Mg/m³
- DFT formation energy: -4.26 eV per formula unit
- N(E_F): 0.46 states/eV/atom

Geometry as POSCAR:
```
Ba2Ga4Ge3Au
1.0
4.756 0.000 0.000
0.000 4.756 0.000
0.000 0.000 10.486
Ba Ga Ge Au
2 4 3 1
Direct
0.500 0.000 0.252 Ba
0.000 0.500 0.748 Ba
0.000 0.500 0.380 Ga
0.000 0.000 0.000 Ga
0.500 0.500 0.000 Ga
0.500 0.000 0.620 Ga
0.500 0.000 0.874 Ge
0.000 0.000 0.500 Ge
0.000 0.500 0.126 Ge
0.500 0.500 0.500 Au
```



# 4
Computed, not measured: a relaxed NaSBr crystal at the PBE level of DFT.

- Calculated density: 2.02 Mg/m³
- Uncorrected formation energy: -0.822 eV/atom
- Excess energy over the best structure of this formula in the dataset: 0.00 kJ per mole of atoms

Geometry as POSCAR:
```
NaSBr
1.0
-2.802 -3.053 0.448
3.074 -2.708 0.764
-0.794 1.989 12.611
Na S Br
2 2 2
Direct
0.761 0.761 0.893 Na
0.239 0.239 0.107 Na
0.084 0.084 0.435 S
0.916 0.916 0.565 S
0.263 0.263 0.874 Br
0.737 0.737 0.126 Br
```



# 5
Computed, not measured: a relaxed Dy2PbI crystal at the PBE level of DFT.

- Calculated density: 8.66 Mg/m³
- Uncorrected formation energy: -0.611 eV/atom
- N(E_F): 0.53 states/eV/atom
- Excess energy over the best structure of this formula in the dataset: 0.00 kJ per mole of atoms

Geometry as POSCAR:
```
Dy2PbI
1.0
-3.029 -2.965 -1.660
1.064 -2.559 -3.612
1.879 -6.826 2.521
Dy Pb I
2 1 1
Direct
0.260 0.260 0.221 Dy
0.740 0.740 0.779 Dy
0.000 0.000 0.000 Pb
0.500 0.500 0.500 I
```



# 6
Computed, not measured: a relaxed NaNbCu2B crystal at the PBE level of DFT.

- Calculated density: 5.85 Mg/m³
- DFT formation energy: 4.30 eV per formula unit
- N(E_F): 0.94 states/eV/atom

Geometry as POSCAR:
```
NaNbCu2B
1.0
-1.528 -3.286 1.715
2.552 0.700 3.614
-2.919 2.210 1.633
B Na Cu Nb
1 1 2 1
Direct
0.000 0.000 0.000 B
0.000 0.500 0.000 Na
0.500 0.000 0.000 Cu
0.000 0.000 0.500 Cu
0.500 0.500 0.500 Nb
```



# 7
Computed, not measured: a relaxed Ta2TlRh crystal at the PBE level of DFT.

- Calculated density: 15.34 Mg/m³
- DFT formation energy: 0.30 eV per formula unit
- N(E_F): 0.92 states/eV/atom
- Excess energy over the best structure of this formula in the dataset: 0.39 kJ per mole of atoms

Geometry as POSCAR:
```
Ta2TlRh
1.0
2.937 0.000 0.000
0.000 2.937 0.000
0.000 0.000 8.402
Rh Ta Tl
1 2 1
Direct
0.500 0.500 0.500 Rh
0.000 0.000 0.277 Ta
0.000 0.000 0.723 Ta
0.500 0.500 0.000 Tl
```



# 8
Computed, not measured: a relaxed BeNiRh2 crystal at the PBE level of DFT.

- Calculated density: 9.22 Mg/m³
- DFT formation energy: 0.11 eV per formula unit
- N(E_F): 1.56 states/eV/atom

Geometry as POSCAR:
```
BeNiRh2
1.0
2.618 -0.010 0.000
-1.179 2.338 0.000
0.000 0.000 8.065
Be Rh Ni
1 2 1
Direct
0.000 0.000 0.508 Be
0.500 0.500 0.284 Rh
0.000 0.000 0.989 Rh
0.500 0.500 0.720 Ni
```



# 9
Computed, not measured: a relaxed RbBi2Pt2 crystal at the PBE level of DFT.

- Calculated density: 11.62 Mg/m³
- DFT formation energy: -0.39 eV per formula unit
- N(E_F): 0.36 states/eV/atom

Geometry as POSCAR:
```
RbBi2Pt2
1.0
8.885 0.000 0.000
0.000 8.885 0.000
0.000 0.000 3.236
Pt Rb Bi
4 2 4
Direct
0.642 0.858 0.500 Pt
0.358 0.142 0.500 Pt
0.858 0.358 0.500 Pt
0.142 0.642 0.500 Pt
0.500 0.500 0.000 Rb
0.000 0.000 0.000 Rb
0.638 0.138 0.000 Bi
0.138 0.362 0.000 Bi
0.862 0.638 0.000 Bi
0.362 0.862 0.000 Bi
```



# 10
Computed, not measured: a relaxed SrCd3 crystal at the PBE level of DFT.

- Calculated density: 6.06 Mg/m³
- DFT formation energy: -0.80 eV per formula unit
- N(E_F): 0.57 states/eV/atom

Geometry as POSCAR:
```
SrCd3
1.0
-2.298 -2.825 -3.650
3.276 -0.380 -1.769
1.139 -5.014 3.163
Sr Cd
1 3
Direct
0.500 0.250 0.250 Sr
0.000 0.750 0.502 Cd
0.500 0.750 0.750 Cd
0.000 0.750 0.998 Cd
```



# 11
Computed, not measured: a relaxed YNb3In crystal at the PBE level of DFT.

- Calculated density: 6.01 Mg/m³
- DFT formation energy: 7.15 eV per formula unit
- N(E_F): 1.26 states/eV/atom
- Excess energy over the best structure of this formula in the dataset: 0.00 kJ per mole of atoms

Geometry as POSCAR:
```
YNb3In
1.0
5.109 0.000 0.000
0.000 5.109 0.000
0.000 0.000 5.109
Y Nb In
1 3 1
Direct
0.500 0.500 0.500 Y
0.500 0.000 0.000 Nb
0.000 0.500 0.000 Nb
0.000 0.000 0.500 Nb
0.000 0.000 0.000 In
```



# 12
Computed, not measured: a relaxed CrTc2Ru crystal at the PBE level of DFT.

- Calculated density: 10.46 Mg/m³
- DFT formation energy: 0.42 eV per formula unit
- N(E_F): 1.23 states/eV/atom
- Excess energy over the best structure of this formula in the dataset: 0.00 kJ per mole of atoms

Geometry as POSCAR:
```
CrTc2Ru
1.0
4.107 0.000 0.000
0.000 2.706 0.003
0.000 1.321 4.987
Cr Ru Tc
1 1 2
Direct
0.000 0.346 0.508 Cr
0.500 0.700 0.725 Ru
0.500 0.417 0.254 Tc
0.000 0.037 0.013 Tc
```



Q: Which formula does entry 10 have?
A: SrCd3